[1]
A geometry-optimized ZnInTe2I structure. Source: Alexandria, functional PBE.

Unit cell a=5.749 b=5.749 c=5.895 alpha=90.00 beta=90.00 gamma=90.00
Positions (direct):
I1 0.000 0.000 0.500
Zn1 0.500 0.500 0.500
In1 0.000 0.000 0.000
Te1 0.000 0.500 0.000
Te2 0.500 0.000 0.000

Its space group is P4/mmm (123). The crystal system is tetragonal. As for the energy above the most stable polymorph in this dataset: 321.9 meV per atom. The raw formation energy is 0.3761 eV per atom. As for the total magnetic moment: 0.01 μB per formula unit. The uncorrected energy comes out at -9.97 eV/f.u.

=====

[2]
A geometry-optimized ZrInTeI2 structure. Source: Alexandria, functional PBE.

Unit cell a=5.758 b=5.758 c=5.792 alpha=90.00 beta=90.00 gamma=90.00
Site moments in Bohr magnetons follow the coordinates.
Positions (direct):
I1 0.500 0.000 0.000  -0.02
I2 0.000 0.500 0.000  -0.02
Te1 0.000 0.000 0.500  -0.08
Zr1 0.500 0.500 0.500  1.56
In1 0.000 0.000 0.000  0.00

Its space group is P4/mmm (123). The crystal system is tetragonal. As for the energy above the most stable polymorph in this dataset: 922.9 meV per atom. The raw formation energy is 0.4946 eV per atom. As for the total magnetic moment: 2.23 μB per formula unit. The uncorrected energy comes out at -15.06 eV/f.u.

=====

[3]
A geometry-optimized ZrInTeI2 structure. Source: Alexandria, functional PBE.

Unit cell a=5.802 b=5.802 c=5.667 alpha=90.00 beta=90.00 gamma=90.00
Positions (direct):
In1 0.500 0.500 0.500
Zr1 0.000 0.000 0.000
Te1 0.000 0.000 0.500
I1 0.500 0.000 0.000
I2 0.000 0.500 0.000

Its space group is P4/mmm (123). The crystal system is tetragonal. As for the energy above the most stable polymorph in this dataset: 0.0 meV per atom. The raw formation energy is -0.4284 eV per atom. As for the total magnetic moment: 0.00 μB per formula unit. The uncorrected energy comes out at -19.67 eV/f.u.

=====

[4]
A geometry-optimized ThInI structure. Source: Alexandria, functional PBE.

Unit cell a=3.666 b=5.187 c=16.032 alpha=89.97 beta=91.11 gamma=44.96
Positions (direct):
In1 0.710 0.320 0.307
In2 0.669 0.331 0.126
Th1 0.734 0.808 0.445
Th2 0.646 0.843 0.988
I1 0.624 0.354 0.859
I2 0.756 0.296 0.574

Its space group is P-1 (2). The crystal system is triclinic. The raw formation energy is -0.4565 eV per atom. As for the total magnetic moment: 0.00 μB per formula unit. The uncorrected energy comes out at -13.08 eV/f.u.